# 1
An optimized crystal structure of MgNb2HgAu, computed with PBE.

Cell lengths 4.828, 4.828, 4.727 Å; angles 90.00, 90.00, 90.00 degrees
Space group P4/mmm (No. 123)
One atom of each set of equivalent atoms:
Mg1 0.000 0.000 0.000
Nb1 0.000 0.500 0.000
Hg1 0.000 0.000 0.500
Au1 0.500 0.500 0.500

DOS(E_F), states/eV/f.u.: 4.326
Final energy, eV per atom: -3.607
Energy relative to the elements, eV/atom: 1.4554
Calculated volume, A^3/atom: 22.037
Density, g/cm3: 9.16

---

# 2
An optimized crystal structure of Cs4SmCl6, computed with PBE.

Cell lengths 9.902, 9.902, 10.371 Å; angles 90.00, 90.00, 90.00 degrees
Space group P4/mnc (No. 128)
One atom of each set of equivalent atoms:
Cs1 0.187 0.313 0.250
Sm1 0.000 0.000 0.000
Cl1 0.000 0.000 0.266
Cl2 0.071 0.730 0.000

DOS(E_F), states/eV/f.u.: 5.844
Final energy, eV per atom: -3.662
Calculated volume, A^3/atom: 46.220
Density, g/cm3: 2.92
Raw formation energy, meV/atom: -1915

---

# 3
An optimized crystal structure of La2Pt2Pb, computed with PBE.

Cell lengths 3.960, 3.960, 17.698 Å; angles 90.00, 90.00, 90.00 degrees
Space group I4/mmm (No. 139)
One atom of each set of equivalent atoms:
La1 0.000 0.000 0.126
Pt1 0.000 0.500 0.250
Pb1 0.000 0.000 0.500

DOS(E_F), states/eV/f.u.: 3.112
Final energy, eV per atom: -5.938
Energy relative to the elements, eV/atom: -0.8088
Calculated volume, A^3/atom: 27.747
Density, g/cm3: 10.48

---

# 4
An optimized crystal structure of LaCr2Mo, computed with PBE.

Cell lengths 7.051, 4.116, 6.133 Å; angles 90.00, 112.70, 90.00 degrees
Space group Cm (No. 8)
One atom of each set of equivalent atoms:
La1 0.000 0.000 0.000
Cr1 0.304 0.500 0.410
Cr2 0.482 0.000 0.445
Mo1 0.197 0.000 0.591

DOS(E_F), states/eV/f.u.: 5.589
Final energy, eV per atom: -8.245
Energy relative to the elements, eV/atom: 0.5066
Calculated volume, A^3/atom: 20.526
E above lowest polymorph, eV/atom: 0.0787
Density, g/cm3: 6.85